Record 1
Material: LiScSbRh
Method: DFT, PBE
State: relaxed

energy relative to the elements, uncorrected: -3.45 eV per formula unit
M_tot: 0.00 μB/f.u.

Lattice parameters (Å, degrees): 4.555 4.555 4.555 60.00 60.00 60.00
Sites, in units of the cell vectors:
1 Sc 0.500 0.500 0.500
2 Sb 0.000 0.000 0.000
3 Rh 0.250 0.250 0.250
4 Li 0.750 0.750 0.750

Record 2
Material: LiSiSb2Rh
Method: DFT, PBE
State: relaxed

energy relative to the elements, uncorrected: 3.36 eV per formula unit
M_tot: 0.00 μB/f.u.
D(E_F): 2.6 states/eV per cell

Lattice parameters (Å, degrees): 4.837 4.270 4.837 90.00 90.00 90.00
Sites, in units of the cell vectors:
1 Sb 0.000 0.000 0.500
2 Sb 0.500 0.000 0.000
3 Si 0.000 0.500 0.000
4 Rh 0.500 0.500 0.500
5 Li 0.000 0.000 0.000

Record 3
Material: LiSnSbRh
Method: DFT, PBE
State: relaxed

energy relative to the elements, uncorrected: -1.38 eV per formula unit
M_tot: 0.00 μB/f.u.
D(E_F): 3.3 states/eV per cell

Lattice parameters (Å, degrees): 4.718 4.718 4.718 60.00 60.00 60.00
Sites, in units of the cell vectors:
1 Sb 0.750 0.750 0.750
2 Rh 0.000 0.000 0.000
3 Sn 0.250 0.250 0.250
4 Li 0.500 0.500 0.500

Record 4
Material: Sr3Li2Sb4Rh2
Method: DFT, PBE
State: relaxed

energy relative to the elements, uncorrected: -8.09 eV per formula unit
M_tot: 0.00 μB/f.u.
D(E_F): 3.1 states/eV per cell

Lattice parameters (Å, degrees): 4.579 4.579 16.167 90.00 90.00 120.00
Sites, in units of the cell vectors:
1 Sr 0.000 0.000 0.726
2 Sr 0.000 0.000 0.000
3 Sr 0.000 0.000 0.274
4 Li 0.667 0.333 0.865
5 Li 0.333 0.667 0.135
6 Sb 0.667 0.333 0.136
7 Sb 0.333 0.667 0.864
8 Sb 0.667 0.333 0.594
9 Sb 0.333 0.667 0.406
10 Rh 0.667 0.333 0.435
11 Rh 0.333 0.667 0.565

Record 5
Material: Sr2LiSb2Rh
Method: DFT, PBE
State: relaxed

energy relative to the elements, uncorrected: -4.59 eV per formula unit
M_tot: 0.00 μB/f.u.
D(E_F): 9.9 states/eV per cell

Lattice parameters (Å, degrees): 6.649 6.537 8.732 111.98 112.38 90.00
Sites, in units of the cell vectors:
1 Sr 0.415 0.158 0.315
2 Sr 0.585 0.842 0.685
3 Sr 0.100 0.342 0.685
4 Sr 0.900 0.658 0.315
5 Li 0.000 0.750 0.000
6 Li 0.000 0.250 0.000
7 Sb 0.846 0.102 0.204
8 Sb 0.358 0.602 0.204
9 Sb 0.642 0.398 0.796
10 Sb 0.154 0.898 0.796
11 Rh 0.500 0.750 0.000
12 Rh 0.500 0.250 0.000

Record 6
Material: Sr2Li3Sb4Rh
Method: DFT, PBE
State: relaxed

energy relative to the elements, uncorrected: -6.88 eV per formula unit
M_tot: 0.00 μB/f.u.
D(E_F): 2.7 states/eV per cell

Lattice parameters (Å, degrees): 4.735 4.735 10.751 90.00 90.00 90.00
Sites, in units of the cell vectors:
1 Sr 0.500 0.000 0.258
2 Sr 0.000 0.500 0.742
3 Li 0.000 0.000 0.500
4 Li 0.500 0.000 0.866
5 Li 0.000 0.500 0.134
6 Sb 0.500 0.500 0.000
7 Sb 0.000 0.000 0.000
8 Sb 0.500 0.000 0.616
9 Sb 0.000 0.500 0.384
10 Rh 0.500 0.500 0.500

Record 7
Material: LiTbSbRh
Method: DFT, PBE
State: relaxed

energy relative to the elements, uncorrected: -3.39 eV per formula unit
M_tot: 0.00 μB/f.u.

Lattice parameters (Å, degrees): 4.710 4.710 4.710 60.00 60.00 60.00
Sites, in units of the cell vectors:
1 Sb 0.500 0.500 0.500
2 Tb 0.000 0.000 0.000
3 Rh 0.750 0.750 0.750
4 Li 0.250 0.250 0.250

Record 8
Material: LiSbTe2Rh
Method: DFT, PBE
State: relaxed

energy relative to the elements, uncorrected: 0.24 eV per formula unit
M_tot: 0.00 μB/f.u.
D(E_F): 4.4 states/eV per cell

Lattice parameters (Å, degrees): 5.496 5.496 4.920 90.00 90.00 90.00
Sites, in units of the cell vectors:
1 Sb 0.000 0.000 0.500
2 Te 0.000 0.500 0.000
3 Te 0.500 0.000 0.000
4 Rh 0.000 0.000 0.000
5 Li 0.500 0.500 0.500

Record 9
Material: LiSb2TeRh
Method: DFT, PBE
State: relaxed

energy relative to the elements, uncorrected: 0.34 eV per formula unit
M_tot: 0.00 μB/f.u.
D(E_F): 2.1 states/eV per cell

Lattice parameters (Å, degrees): 5.026 5.026 5.860 90.00 90.00 90.00
Sites, in units of the cell vectors:
1 Sb 0.000 0.500 0.000
2 Sb 0.500 0.000 0.000
3 Te 0.000 0.000 0.500
4 Rh 0.000 0.000 0.000
5 Li 0.500 0.500 0.500

Record 10
Material: LiSbTe2Rh
Method: DFT, PBE
State: relaxed

energy relative to the elements, uncorrected: 2.95 eV per formula unit
M_tot: 0.00 μB/f.u.
D(E_F): 4.4 states/eV per cell

Lattice parameters (Å, degrees): 4.982 4.982 4.723 90.00 90.00 90.00
Sites, in units of the cell vectors:
1 Sb 0.000 0.000 0.500
2 Te 0.000 0.500 0.000
3 Te 0.500 0.000 0.000
4 Rh 0.500 0.500 0.500
5 Li 0.000 0.000 0.000

Record 11
Material: LiThSbRh
Method: DFT, PBE
State: relaxed

energy relative to the elements, uncorrected: -2.53 eV per formula unit
M_tot: 0.00 μB/f.u.
D(E_F): 3.6 states/eV per cell

Lattice parameters (Å, degrees): 4.855 4.855 4.855 60.00 60.00 60.00
Sites, in units of the cell vectors:
1 Sb 0.250 0.250 0.250
2 Rh 0.000 0.000 0.000
3 Th 0.750 0.750 0.750
4 Li 0.500 0.500 0.500

Record 12
Material: Li2TiSbRh
Method: DFT, PBE
State: relaxed

energy relative to the elements, uncorrected: 2.90 eV per formula unit
M_tot: 0.00 μB/f.u.
D(E_F): 4.1 states/eV per cell

Lattice parameters (Å, degrees): 4.611 5.192 4.611 90.00 90.00 90.00
Sites, in units of the cell vectors:
1 Sb 0.000 0.000 0.000
2 Li 0.000 0.000 0.500
3 Li 0.500 0.000 0.000
4 Rh 0.500 0.500 0.500
5 Ti 0.000 0.500 0.000

Record 13
Material: LiTmSbRh
Method: DFT, PBE
State: relaxed

energy relative to the elements, uncorrected: -3.38 eV per formula unit
M_tot: 0.00 μB/f.u.

Lattice parameters (Å, degrees): 4.664 4.664 4.664 60.00 60.00 60.00
Sites, in units of the cell vectors:
1 Sb 0.250 0.250 0.250
2 Tm 0.750 0.750 0.750
3 Rh 0.500 0.500 0.500
4 Li 0.000 0.000 0.000

Record 14
Material: LiUSbRh
Method: DFT, PBE
State: relaxed

energy relative to the elements, uncorrected: -1.44 eV per formula unit
M_tot: 2.93 μB/f.u.
D(E_F): 8.5 states/eV per cell

Lattice parameters (Å, degrees): 4.750 4.750 4.750 60.00 60.00 60.00
Sites, in units of the cell vectors:
1 Sb 0.250 0.250 0.250
2 U 0.750 0.750 0.750
3 Rh 0.500 0.500 0.500
4 Li 0.000 0.000 0.000

Record 15
Material: LiZn2SbRh
Method: DFT, PBE
State: relaxed

energy relative to the elements, uncorrected: 2.65 eV per formula unit
M_tot: 0.00 μB/f.u.
D(E_F): 2.9 states/eV per cell

Lattice parameters (Å, degrees): 4.356 4.643 4.356 90.00 90.00 90.00
Sites, in units of the cell vectors:
1 Sb 0.000 0.500 0.000
2 Zn 0.000 0.000 0.500
3 Zn 0.500 0.000 0.000
4 Rh 0.500 0.500 0.500
5 Li 0.000 0.000 0.000

Record 16
Material: LiZr2SbRh
Method: DFT, PBE
State: relaxed

energy relative to the elements, uncorrected: 0.91 eV per formula unit
M_tot: 0.00 μB/f.u.
D(E_F): 5.1 states/eV per cell

Lattice parameters (Å, degrees): 5.046 5.034 5.046 90.00 90.00 90.00
Sites, in units of the cell vectors:
1 Sb 0.000 0.500 0.000
2 Rh 0.000 0.000 0.000
3 Zr 0.000 0.000 0.500
4 Zr 0.500 0.000 0.000
5 Li 0.500 0.500 0.500

Record 17
Material: LiZrSbRh
Method: DFT, PBE
State: relaxed

energy relative to the elements, uncorrected: -2.26 eV per formula unit
M_tot: 0.00 μB/f.u.
D(E_F): 4.0 states/eV per cell

Lattice parameters (Å, degrees): 4.613 4.613 4.613 60.00 60.00 60.00
Sites, in units of the cell vectors:
1 Sb 0.750 0.750 0.750
2 Rh 0.500 0.500 0.500
3 Zr 0.250 0.250 0.250
4 Li 0.000 0.000 0.000

Record 18
Material: Li2ScRh
Method: DFT, PBE
State: relaxed

M_tot: 0.00 μB/f.u.
ΔE_f: -333.3 meV per atom
D(E_F): 2.3 states/eV per cell

Lattice parameters (Å, degrees): 3.223 3.232 7.489 64.01 90.00 90.00
Sites, in units of the cell vectors:
1 Li 0.000 0.956 0.043
2 Li 0.500 0.229 0.272
3 Rh 0.000 0.511 0.490
4 Sc 0.500 0.804 0.695

Record 19
Material: Li2Sc2Rh3
Method: DFT, PBE
State: relaxed

M_tot: 0.00 μB/f.u.
ΔE_f: -615.5 meV per atom
D(E_F): 2.3 states/eV per cell

Lattice parameters (Å, degrees): 3.169 3.121 11.686 90.00 82.21 90.00
Sites, in units of the cell vectors:
1 Li 0.703 0.500 0.595
2 Li 0.297 0.500 0.405
3 Sc 0.574 0.500 0.852
4 Sc 0.426 0.500 0.148
5 Rh 0.860 0.000 0.280
6 Rh 0.000 0.000 0.000
7 Rh 0.140 0.000 0.720

Record 20
Material: Li2ScRh
Method: DFT, PBE
State: relaxed

M_tot: 0.00 μB/f.u.
ΔE_f: -151.8 meV per atom
D(E_F): 1.4 states/eV per cell

Lattice parameters (Å, degrees): 3.040 4.100 5.131 90.00 90.00 90.00
Sites, in units of the cell vectors:
1 Li 0.000 0.000 0.040
2 Li 0.000 0.000 0.460
3 Rh 0.500 0.500 0.250
4 Sc 0.500 0.500 0.750